# CoO4F2

CoO4F2 after structural relaxation (PBE with a Hubbard U, Alexandria via LeMat-Bulk).

```
data_CoO4F2
_chemical_formula_sum 'Co4 O16 F8'
_space_group_name_H-M_alt 'P c a 21'
_space_group_IT_number 29
_cell_length_a 10.968
_cell_length_b 5.561
_cell_length_c 6.317
_cell_angle_alpha 90.00
_cell_angle_beta 90.00
_cell_angle_gamma 90.00
loop_
_space_group_symop_operation_xyz
'x,y,z'
'-x,-y,z+1/2'
'-x+1/2,y,z+1/2'
'x+1/2,-y,z'
loop_
_atom_site_label
_atom_site_type_symbol
_atom_site_fract_x
_atom_site_fract_y
_atom_site_fract_z
Co1 Co 0.137 0.249 0.000
O1 O 0.018 0.751 0.500
O2 O 0.141 0.029 0.793
O3 O 0.141 0.470 0.207
O4 O 0.193 0.249 0.500
F1 F 0.146 0.002 0.192
F2 F 0.146 0.497 0.808
```

Values from the calculation:
- Theoretical density: 2.774 g/cm3
- Volume: 13.76 A^3/atom
- Crystal system: orthorhombic
- Total DFT energy (no corrections): -3.84 eV/atom